1.
The following is a DFT calculation (GGA-PBE) of a relaxed structure of CsLiP2S.

Summary:
* E above lowest polymorph: 980.3 meV/atom
* formation energy from raw total energies: 1.39 eV/atom
* total magnetic moment: 3.65 μB per formula unit

Cell lengths 5.9126, 5.9126, 5.9047 Å; angles 90.00, 90.00, 90.00 degrees
Closest atoms and distances in Å follow each position.
Atoms (fractional coordinates):
Cs: 0.0000 0.0000 0.0000  2 S 2.95, 4 P 2.96
Li: 0.5000 0.5000 0.5000  8 P 4.18, 4 S 4.18
S: 0.0000 0.0000 0.5000  2 Cs 2.95
P: 0.5000 0.0000 0.0000  2 Cs 2.96
P: 0.0000 0.5000 0.0000  2 Cs 2.96

---

2.
The following is a DFT calculation (GGA-PBE) of a relaxed structure of CsLiPS3.

Summary:
* formation energy from raw total energies: -0.91 eV/atom
* total magnetic moment: 0.00 μB per formula unit

Cell lengths 7.6338, 7.6338, 7.2818 Å; angles 84.87, 84.87, 58.27 degrees
Closest atoms and distances in Å follow each position.
Atoms (fractional coordinates):
S: 0.8611 0.3254 0.1932  1 P 2.04
S: 0.1152 0.1152 0.6803  1 P 2.05
S: 0.1389 0.6746 0.8068  1 P 2.04
S: 0.6746 0.1389 0.8068  1 P 2.04
S: 0.3254 0.8611 0.1932  1 P 2.04
S: 0.8848 0.8848 0.3197  1 P 2.05
P: 0.9826 0.9826 0.8486  3 S 2.04-2.05
P: 0.0174 0.0174 0.1514  3 S 2.04-2.05
Cs: 0.3317 0.3317 0.2041  6 S 3.57-3.89
Cs: 0.6683 0.6683 0.7959  6 S 3.57-3.89
Li: 0.8150 0.1850 0.5000  4 S 2.47-2.53, 1 Li 2.75
Li: 0.1850 0.8150 0.5000  4 S 2.47-2.53, 1 Li 2.75

---

3.
The following is a DFT calculation (GGA-PBE) of a relaxed structure of CsLiPSe3.

Summary:
* formation energy from raw total energies: -0.78 eV/atom
* total magnetic moment: 0.00 μB per formula unit

Cell lengths 7.7724, 7.7724, 7.5417 Å; angles 94.90, 94.90, 60.30 degrees
Closest atoms and distances in Å follow each position.
Atoms (fractional coordinates):
P: 0.0178 0.0178 0.1531  3 Se 2.21, 1 P 2.31
P: 0.9822 0.9822 0.8469  3 Se 2.21, 1 P 2.31
Li: 0.8200 0.1800 0.5000  4 Se 2.61-2.65, 1 Li 2.81
Li: 0.1800 0.8200 0.5000  4 Se 2.61-2.65, 1 Li 2.81
Se: 0.3388 0.8610 0.2263  1 P 2.21
Se: 0.8610 0.3388 0.2263  1 P 2.21
Se: 0.6612 0.1390 0.7737  1 P 2.21
Se: 0.1390 0.6612 0.7737  1 P 2.21
Se: 0.8754 0.8754 0.2776  1 P 2.21
Se: 0.1246 0.1246 0.7224  1 P 2.21
Cs: 0.6608 0.6608 0.8376  8 Se 3.73-4.04, 2 Li 4.04
Cs: 0.3392 0.3392 0.1624  8 Se 3.73-4.04, 2 Li 4.04

---

4.
The following is a DFT calculation (GGA-PBE) of a relaxed structure of CsLi2PSe4.

Summary:
* formation energy from raw total energies: -0.79 eV/atom
* total magnetic moment: 0.00 μB per formula unit

Cell lengths 6.7491, 6.7491, 6.7491 Å; angles 116.64, 116.64, 95.93 degrees
Closest atoms and distances in Å follow each position.
Atoms (fractional coordinates):
Se: 0.6743 0.6743 0.6375  1 P 2.24
Se: 0.9632 0.3257 0.0000  1 P 2.24
Se: 0.3257 0.9632 0.0000  1 P 2.24
Se: 0.0368 0.0368 0.3625  1 P 2.24
Cs: 0.5000 0.5000 0.0000  8 Se 3.45-3.69
P: 0.0000 0.0000 0.0000  4 Se 2.24
Li: 0.2500 0.7500 0.5000  4 Se 2.77
Li: 0.7500 0.2500 0.5000  4 Se 2.77

---

5.
The following is a DFT calculation (GGA-PBE) of a relaxed structure of Cs2LiPSe4.

Summary:
* formation energy from raw total energies: -0.88 eV/atom
* total magnetic moment: 0.00 μB per formula unit

Cell lengths 6.2028, 7.8189, 13.2548 Å; angles 84.67, 76.47, 66.63 degrees
Closest atoms and distances in Å follow each position.
Atoms (fractional coordinates):
Se: 0.3318 0.8202 0.0995  1 P 2.23
Se: 0.8480 0.8202 0.9005  1 P 2.23
Se: 0.9020 0.6798 0.5995  1 P 2.23
Se: 0.4182 0.6798 0.4005  1 P 2.23
Se: 0.1813 0.3202 0.4005  1 P 2.23
Se: 0.2515 0.1798 0.9005  1 P 2.23
Se: 0.5687 0.1798 0.0995  1 P 2.23
Se: 0.4985 0.3202 0.5995  1 P 2.23
Cs: 0.8208 0.0000 0.3584  8 Se 3.70-4.11
Cs: 0.9292 0.5000 0.1416  8 Se 3.70-4.11
Cs: 0.1792 0.0000 0.6416  8 Se 3.70-4.11
Cs: 0.5708 0.5000 0.8584  8 Se 3.70-4.11
P: 0.2500 0.5000 0.5000  4 Se 2.23
P: 0.5000 0.0000 0.0000  4 Se 2.23
Li: 0.0000 0.0000 0.0000  4 Se 2.57
Li: 0.7500 0.5000 0.5000  4 Se 2.57

---

6.
The following is a DFT calculation (GGA-PBE) of a relaxed structure of CsLiSnP2.

Summary:
* formation enthalpy at 0 K: -403 meV per atom
* total magnetic moment: 0.00 μB per formula unit

Cell lengths 4.1941, 7.1915, 10.2484 Å; angles 98.57, 90.00, 106.95 degrees
Closest atoms and distances in Å follow each position.
Atoms (fractional coordinates):
P: 0.8738 0.7476 0.0591  3 Li 2.49-2.58, 2 Sn 2.55-2.58
P: 0.6207 0.2414 0.2949  2 Sn 2.60, 1 Li 2.72
P: 0.3793 0.7586 0.7051  2 Sn 2.60, 1 Li 2.72
P: 0.1262 0.2524 0.9409  3 Li 2.49-2.58, 2 Sn 2.55-2.58
Li: 0.6860 0.3721 0.0582  4 P 2.49-2.72
Li: 0.3140 0.6279 0.9418  4 P 2.49-2.72
Cs: 0.3506 0.7011 0.3395  6 P 3.61-3.81, 3 Li 3.98-4.03
Cs: 0.6494 0.2989 0.6605  6 P 3.61-3.81, 3 Li 3.98-4.03
Sn: 0.0551 0.1101 0.1598  4 P 2.55-2.60
Sn: 0.9449 0.8899 0.8402  4 P 2.55-2.60

---

7.
The following is a DFT calculation (GGA-PBE) of a relaxed structure of CsLiPaS3.

Summary:
* formation energy from raw total energies: -1.53 eV/atom
* total magnetic moment: 1.00 μB per formula unit

Cell lengths 4.1295, 9.3796, 9.6862 Å; angles 110.57, 90.00, 90.00 degrees
Closest atoms and distances in Å follow each position.
Atoms (fractional coordinates):
Pa: 0.7500 0.3257 0.8474  6 S 2.65-2.77
Pa: 0.2500 0.6743 0.1526  6 S 2.65-2.77
Cs: 0.2500 0.2133 0.2590  7 S 3.60-3.74, 1 Li 3.91
Cs: 0.7500 0.7867 0.7410  7 S 3.60-3.74, 1 Li 3.91
S: 0.7500 0.1933 0.5566  3 Li 2.43-2.45, 1 Pa 2.65
S: 0.2500 0.1415 0.8651  1 Li 2.45, 2 Pa 2.74
S: 0.2500 0.8067 0.4434  3 Li 2.43-2.45, 1 Pa 2.65
S: 0.2500 0.5239 0.8497  3 Pa 2.77
S: 0.7500 0.8585 0.1349  1 Li 2.45, 2 Pa 2.74
S: 0.7500 0.4761 0.1503  3 Pa 2.77
Li: 0.2500 0.0774 0.5971  4 S 2.43-2.45
Li: 0.7500 0.9226 0.4029  4 S 2.43-2.45

---

8.
The following is a DFT calculation (GGA-PBE) of a relaxed structure of CsLi2PaS4.

Summary:
* formation energy from raw total energies: -1.26 eV/atom
* total magnetic moment: 0.00 μB per formula unit

Cell lengths 7.0371, 6.7757, 6.7757 Å; angles 62.54, 58.72, 58.72 degrees
Closest atoms and distances in Å follow each position.
Atoms (fractional coordinates):
Li: 0.7497 0.7503 0.7503  4 S 2.64
Li: 0.2503 0.2497 0.2497  4 S 2.64
S: 0.4711 0.1300 0.5292  1 Pa 2.53, 2 Li 2.64
S: 0.1303 0.8700 0.4708  1 Pa 2.53, 2 Li 2.64
S: 0.5289 0.4708 0.8700  1 Pa 2.53, 2 Li 2.64
S: 0.8697 0.5292 0.1300  1 Pa 2.53, 2 Li 2.64
Pa: 0.5000 0.5000 0.5000  4 S 2.53
Cs: 0.0000 0.0000 0.0000  8 S 3.38-3.62